Entry from Alexandria via LeMat-Bulk: an optimized crystal structure of Na12SrPb4 (GGA-PBE).

```
17
Lattice="9.642 0.000 0.000 -3.214 9.090 0.000 -3.214 -4.545 7.872" Properties=species:S:1:pos:R:3 pbc="T T T"
Na 2.181 0.715 6.505
Na -3.161 2.235 6.607
Na 3.161 6.839 1.368
Na 5.394 -1.446 5.239
Na 0.053 -2.294 6.505
Pb -1.607 4.545 0.000
Pb 4.821 0.000 0.000
Na -1.033 0.731 4.001
Sr 0.000 0.000 0.000
Na -2.181 5.991 2.633
Na 4.247 3.814 3.872
Na -0.053 4.486 5.239
Pb -1.607 -2.273 3.936
Na 1.033 3.830 1.368
Pb 1.607 2.273 3.936
Na 6.375 2.310 1.266
Na 3.267 0.059 2.633
```

Properties
Space group ... Im-3 (204)
Crystal system ... cubic
Energy of formation from the pure elements ... 0.072 eV per atom
Calculated density ... 2.9 g/cm³

---

Entry from Alexandria via LeMat-Bulk: an optimized crystal structure of NaSr2Pb2 (GGA-PBE).

```
10
Lattice="-8.505 4.091 -3.414 -5.319 -6.898 4.985 -0.115 2.217 2.944" Properties=species:S:1:pos:R:3 pbc="T T T"
Sr -10.759 -0.757 0.148
Pb -10.183 -1.832 3.289
Pb -8.817 2.239 0.277
Sr -6.012 1.688 -1.507
Sr -3.065 -2.050 1.424
Sr -7.812 -4.495 3.078
Pb -3.756 1.242 1.226
Na -6.912 -1.404 0.786
Pb -5.122 -2.829 4.238
Na 0.000 0.000 0.000
```

Properties
Energy above the lowest structure with this stoichiometry ... 120 meV/atom
Space group ... P4/mbm (127)
Crystal system ... tetragonal
Energy of formation from the pure elements ... -0.310 eV per atom
Calculated density ... 5.5 g/cm³